1.
The following is a DFT calculation (PBE) of an optimized crystal structure of CoRuW. Values from VASP.

Cell and atoms, written as Quantum ESPRESSO input:
```
&SYSTEM
  ibrav = 0, nat = 12, ntyp = 3
/
ATOMIC_SPECIES
W 183.84 W.upf
Co 58.93 Co.upf
Ru 101.07 Ru.upf
CELL_PARAMETERS angstrom
-3.2581 3.1636 -0.8590
-5.6381 -5.7932 0.0490
0.5777 -0.5234 4.5977
ATOMIC_POSITIONS crystal
W 0.5000 0.0927 0.0000
W 0.5000 0.5927 0.5000
W 0.0000 0.3951 0.5000
W 0.0000 0.8951 0.0000
Co 0.0000 0.5646 0.0000
Co 0.0000 0.2349 0.0000
Co 0.0000 0.7349 0.5000
Co 0.0000 0.0646 0.5000
Ru 0.5000 0.9168 0.5000
Ru 0.5000 0.7441 0.0000
Ru 0.5000 0.2441 0.5000
Ru 0.5000 0.4168 0.0000
```

## Properties
space group: C2 (5)
formation energy: 0.3 eV per formula unit
E_tot: -29.1 eV per formula unit
ΔE to the lowest computed polymorph: 2.010 kcal/mol of atoms


2.
The following is a DFT calculation (PBE) of an optimized crystal structure of CoRuW. Values from VASP.

Cell and atoms, written as Quantum ESPRESSO input:
```
&SYSTEM
  ibrav = 0, nat = 12, ntyp = 3
/
ATOMIC_SPECIES
W 183.84 W.upf
Ru 101.07 Ru.upf
Co 58.93 Co.upf
CELL_PARAMETERS angstrom
-2.7529 -2.4321 2.1836
-2.0000 -1.3386 -4.0125
5.1449 -6.2529 -0.4784
ATOMIC_POSITIONS crystal
W 0.2500 0.8142 0.6682
W 0.2500 0.3142 0.1682
W 0.7500 0.1858 0.6682
W 0.7500 0.6858 0.1682
Ru 0.7500 0.1726 0.3416
Ru 0.7500 0.6726 0.8416
Ru 0.2500 0.3274 0.8416
Ru 0.2500 0.8274 0.3416
Co 0.2500 0.8407 0.9991
Co 0.7500 0.1593 0.9991
Co 0.2500 0.3407 0.4991
Co 0.7500 0.6593 0.4991
```

## Properties
space group: Ama2 (40)
formation energy: 0.1 eV per formula unit
E_tot: -29.2 eV per formula unit
ΔE to the lowest computed polymorph: 0.836 kcal/mol of atoms


3.
The following is a DFT calculation (PBE) of an optimized crystal structure of Co2RuW. Values from VASP.

Cell and atoms, written as Quantum ESPRESSO input:
```
&SYSTEM
  ibrav = 0, nat = 4, ntyp = 3
/
ATOMIC_SPECIES
Co 58.93 Co.upf
Ru 101.07 Ru.upf
W 183.84 W.upf
CELL_PARAMETERS angstrom
-1.7381 1.2606 -1.6469
0.1235 -2.0818 -1.7243
-5.4306 -3.1023 3.3566
ATOMIC_POSITIONS crystal
Co 0.5000 0.5000 0.2367
Co 0.0000 0.0000 0.0174
Ru 0.0000 0.0000 0.4808
W 0.5000 0.5000 0.7651
```

## Properties
space group: P4mm (99)
formation energy: 0.6 eV per formula unit
E_tot: -35.8 eV per formula unit
ΔE to the lowest computed polymorph: 4.086 kcal/mol of atoms


4.
The following is a DFT calculation (PBE) of an optimized crystal structure of CoRuW. Values from VASP.

Cell and atoms, written as Quantum ESPRESSO input:
```
&SYSTEM
  ibrav = 0, nat = 12, ntyp = 3
/
ATOMIC_SPECIES
Ru 101.07 Ru.upf
W 183.84 W.upf
Co 58.93 Co.upf
CELL_PARAMETERS angstrom
5.3702 0.0000 -0.0007
0.0000 3.7824 0.0000
-2.6803 0.0000 8.0353
ATOMIC_POSITIONS crystal
Ru 0.3721 0.0000 0.3192
Ru 0.0352 0.0000 0.6563
Ru 0.3721 0.5000 0.8192
Ru 0.0352 0.5000 0.1563
W 0.6688 0.5000 0.4933
W 0.8834 0.0000 0.3302
W 0.6688 0.0000 0.9933
W 0.8834 0.5000 0.8302
Co 0.5263 0.0000 0.6544
Co 0.2003 0.0000 0.9940
Co 0.2003 0.5000 0.4940
Co 0.5263 0.5000 0.1544
```

## Properties
space group: Cm (8)
formation energy: 0.3 eV per formula unit
E_tot: -29.0 eV per formula unit
ΔE to the lowest computed polymorph: 2.601 kcal/mol of atoms


5.
The following is a DFT calculation (PBE) of an optimized crystal structure of CoRu4W. Values from VASP.

Cell and atoms, written as Quantum ESPRESSO input:
```
&SYSTEM
  ibrav = 0, nat = 6, ntyp = 3
/
ATOMIC_SPECIES
Ru 101.07 Ru.upf
Co 58.93 Co.upf
W 183.84 W.upf
CELL_PARAMETERS angstrom
0.0000 3.5476 3.5476
3.5476 0.0000 3.5476
3.5476 3.5476 0.0000
ATOMIC_POSITIONS crystal
Ru 0.6255 0.6255 0.6255
Ru 0.6255 0.6255 0.1234
Ru 0.1234 0.6255 0.6255
Ru 0.6255 0.1234 0.6255
Co 0.0000 0.0000 0.0000
W 0.2500 0.2500 0.2500
```

## Properties
space group: F-43m (216)
formation energy: 3.1 eV per formula unit
E_tot: -54.0 eV per formula unit


6.
The following is a DFT calculation (PBE) of an optimized crystal structure of Co2RuW. Values from VASP.

Cell and atoms, written as Quantum ESPRESSO input:
```
&SYSTEM
  ibrav = 0, nat = 4, ntyp = 3
/
ATOMIC_SPECIES
Ru 101.07 Ru.upf
W 183.84 W.upf
Co 58.93 Co.upf
CELL_PARAMETERS angstrom
8.6745 0.0055 0.0032
8.2632 2.6392 0.0032
8.2632 1.2902 2.3023
ATOMIC_POSITIONS crystal
Ru 0.2500 0.2500 0.2500
W 0.7500 0.7500 0.7500
Co 0.9981 0.9981 0.9981
Co 0.5019 0.5019 0.5019
```

## Properties
space group: R-3m (166)
formation energy: 1.1 eV per formula unit
E_tot: -35.4 eV per formula unit
ΔE to the lowest computed polymorph: 6.837 kcal/mol of atoms


7.
The following is a DFT calculation (PBE) of an optimized crystal structure of YCoRu2. Values from VASP.

Cell and atoms, written as Quantum ESPRESSO input:
```
&SYSTEM
  ibrav = 0, nat = 4, ntyp = 3
/
ATOMIC_SPECIES
Co 58.93 Co.upf
Y 88.91 Y.upf
Ru 101.07 Ru.upf
CELL_PARAMETERS angstrom
-0.9918 -0.8230 4.0069
2.4829 -1.5453 0.2972
3.7633 3.5600 1.6628
ATOMIC_POSITIONS crystal
Co 0.5000 0.9268 0.7717
Y 0.0000 0.5439 0.5383
Ru 0.0000 0.8034 0.0169
Ru 0.5000 0.2259 0.1731
```

## Properties
space group: Amm2 (38)
formation energy: 0.6 eV per formula unit
E_tot: -31.5 eV per formula unit
ΔE to the lowest computed polymorph: 0.000 kcal/mol of atoms


8.
The following is a DFT calculation (PBE) of an optimized crystal structure of YCoRu4. Values from VASP.

Cell and atoms, written as Quantum ESPRESSO input:
```
&SYSTEM
  ibrav = 0, nat = 6, ntyp = 3
/
ATOMIC_SPECIES
Co 58.93 Co.upf
Ru 101.07 Ru.upf
Y 88.91 Y.upf
CELL_PARAMETERS angstrom
0.0000 3.6704 3.6704
3.6704 0.0000 3.6704
3.6704 3.6704 0.0000
ATOMIC_POSITIONS crystal
Co 0.0000 0.0000 0.0000
Ru 0.3743 0.8770 0.3743
Ru 0.8770 0.3743 0.3743
Ru 0.3743 0.3743 0.8770
Ru 0.3743 0.3743 0.3743
Y 0.7500 0.7500 0.7500
```

## Properties
space group: F-43m (216)
formation energy: 1.5 eV per formula unit
E_tot: -49.2 eV per formula unit


9.
The following is a DFT calculation (PBE) of an optimized crystal structure of YCoRu. Values from VASP.

Cell and atoms, written as Quantum ESPRESSO input:
```
&SYSTEM
  ibrav = 0, nat = 3, ntyp = 3
/
ATOMIC_SPECIES
Ru 101.07 Ru.upf
Y 88.91 Y.upf
Co 58.93 Co.upf
CELL_PARAMETERS angstrom
-1.2977 2.8217 -3.1351
-0.1560 -1.3024 -4.2136
-3.8970 -0.5573 -1.9945
ATOMIC_POSITIONS crystal
Ru 0.5000 0.5000 0.5000
Y 0.7500 0.7500 0.7500
Co 0.0000 0.0000 0.0000
```

## Properties
space group: F-43m (216)
formation energy: 3.0 eV per formula unit
E_tot: -19.9 eV per formula unit
ΔE to the lowest computed polymorph: 28.685 kcal/mol of atoms


10.
The following is a DFT calculation (PBE) of an optimized crystal structure of YCo2Ru. Values from VASP.

Cell and atoms, written as Quantum ESPRESSO input:
```
&SYSTEM
  ibrav = 0, nat = 4, ntyp = 3
/
ATOMIC_SPECIES
Co 58.93 Co.upf
Ru 101.07 Ru.upf
Y 88.91 Y.upf
CELL_PARAMETERS angstrom
-4.8538 -0.0544 0.9137
-1.2521 -3.5873 3.1561
3.4321 3.5512 0.0823
ATOMIC_POSITIONS crystal
Co 0.0000 0.0000 0.0000
Co 0.2500 0.7500 0.5000
Ru 0.5000 0.5000 0.0000
Y 0.7500 0.2500 0.5000
```

## Properties
space group: I-4m2 (119)
formation energy: 1.0 eV per formula unit
E_tot: -28.9 eV per formula unit
ΔE to the lowest computed polymorph: 7.138 kcal/mol of atoms


11.
The following is a DFT calculation (PBE) of an optimized crystal structure of YCo2Ru. Values from VASP.

Cell and atoms, written as Quantum ESPRESSO input:
```
&SYSTEM
  ibrav = 0, nat = 4, ntyp = 3
/
ATOMIC_SPECIES
Ru 101.07 Ru.upf
Y 88.91 Y.upf
Co 58.93 Co.upf
CELL_PARAMETERS angstrom
-2.0418 -2.2946 0.7504
1.5758 -2.0113 -1.8625
3.6590 -1.6580 4.8862
ATOMIC_POSITIONS crystal
Ru 0.5000 0.5000 0.2500
Y 0.5000 0.5000 0.7500
Co 0.0000 0.0000 0.4444
Co 0.0000 0.0000 0.0556
```

## Properties
space group: P4/mmm (123)
formation energy: 0.7 eV per formula unit
E_tot: -29.3 eV per formula unit
ΔE to the lowest computed polymorph: 5.138 kcal/mol of atoms


12.
The following is a DFT calculation (PBE) of an optimized crystal structure of YCoRu. Values from VASP.

Cell and atoms, written as Quantum ESPRESSO input:
```
&SYSTEM
  ibrav = 0, nat = 3, ntyp = 3
/
ATOMIC_SPECIES
Co 58.93 Co.upf
Y 88.91 Y.upf
Ru 101.07 Ru.upf
CELL_PARAMETERS angstrom
4.3311 0.0000 0.0000
2.1655 3.7508 0.0000
2.1655 1.2503 3.5363
ATOMIC_POSITIONS crystal
Co 0.7500 0.7500 0.7500
Y 0.5000 0.5000 0.5000
Ru 0.0000 0.0000 0.0000
```

## Properties
space group: F-43m (216)
formation energy: 0.8 eV per formula unit
E_tot: -22.1 eV per formula unit
ΔE to the lowest computed polymorph: 11.522 kcal/mol of atoms


13.
The following is a DFT calculation (PBE) of an optimized crystal structure of YCoRu2. Values from VASP.

Cell and atoms, written as Quantum ESPRESSO input:
```
&SYSTEM
  ibrav = 0, nat = 4, ntyp = 3
/
ATOMIC_SPECIES
Y 88.91 Y.upf
Ru 101.07 Ru.upf
Co 58.93 Co.upf
CELL_PARAMETERS angstrom
-2.4948 -0.1296 -3.4397
1.3571 -2.5002 -0.8901
-2.9749 -3.8079 2.3012
ATOMIC_POSITIONS crystal
Y 0.5000 0.2500 0.2500
Ru 0.0000 0.9253 0.9587
Ru 0.0000 0.5747 0.5413
Co 0.5000 0.7500 0.7500
```

## Properties
space group: P2/m (10)
formation energy: 0.9 eV per formula unit
E_tot: -31.2 eV per formula unit
ΔE to the lowest computed polymorph: 1.943 kcal/mol of atoms